8
Lattice="-3.219 0.955 2.809 2.213 -1.988 3.212 4.628 9.302 5.552" Properties=species:S:1:pos:R:3 comment="NaLaZr2 | Alexandria via LeMat-Bulk | PBE-GGA | optimized geometry" relative_energy_mev_per_atom=0.0 density_g_cm3=5.25 ef_kj_per_mol_atoms=64.49 volume_a3_per_cell=217.8 spacegroup="No. 122" pbc="T T T"
Zr 2.587 6.076 9.427
Zr 2.133 1.204 3.750
Zr 3.097 6.587 6.426
Zr -0.574 2.673 3.541
La 0.000 0.000 0.000
La 0.453 4.871 5.685
Na 3.169 3.399 5.887
Na -0.503 -0.516 3.010